Record 1
Entry from Alexandria via LeMat-Bulk: a relaxed DyYInNi crystal (PBE).

The structure in extended XYZ format:
```
4
Lattice="5.099 0.000 0.000 2.550 4.416 0.000 2.550 1.472 4.164" Properties=species:S:1:pos:R:3 pbc="T T T"
Dy 2.550 1.472 1.041
Ni 5.099 2.944 2.082
In 0.000 0.000 0.000
Y 7.649 4.416 3.123
```

Calculated values
D(E_F): 3.70 states/eV per cell
SG: F-43m
Calculated formation energy: -0.324 eV per atom
Energy: -20.9 eV/cell

=====

Record 2
Entry from Alexandria via LeMat-Bulk: a relaxed DyZnInNi crystal (PBE).

The structure in extended XYZ format:
```
4
Lattice="-2.878 -1.931 3.187 -1.458 -4.444 -0.532 1.597 -3.362 2.882" Properties=species:S:1:pos:R:3 pbc="T T T"
Zn -2.054 -7.303 4.153
In 0.000 0.000 0.000
Dy -1.369 -4.869 2.769
Ni -0.685 -2.434 1.384
```

Calculated values
D(E_F): 2.53 states/eV per cell
SG: F-43m
Calculated formation energy: -0.350 eV per atom
Energy: -15.8 eV/cell

=====

Record 3
Entry from Alexandria via LeMat-Bulk: a relaxed DyNpIn6 crystal (PBE).

The structure in extended XYZ format:
```
8
Lattice="-0.868 3.499 -2.906 -4.475 -0.128 1.183 1.632 6.082 6.836" Properties=species:S:1:pos:R:3 pbc="T T T"
In -1.855 4.726 2.556
Dy 0.000 0.000 0.000
In -2.672 1.685 -0.862
In 0.789 6.308 3.671
In -1.829 1.459 2.303
In -0.025 3.273 0.259
In -1.014 4.495 5.715
Np 0.816 3.041 3.418
```

Calculated values
D(E_F): 12.37 states/eV per cell
SG: P4/mmm
Calculated formation energy: -0.212 eV per atom
Energy: -35.7 eV/cell

=====

Record 4
Entry from Alexandria via LeMat-Bulk: a relaxed DyNpIn crystal (PBE).

The structure in extended XYZ format:
```
6
Lattice="-0.154 -2.005 2.936 1.851 -4.139 -2.730 7.469 3.757 0.801" Properties=species:S:1:pos:R:3 pbc="T T T"
In 2.574 -3.983 -0.429
Np 5.154 -2.151 -1.199
Dy 7.214 -1.572 1.461
Dy 1.952 -0.815 -0.454
Np 4.012 -0.236 2.205
In 6.592 1.596 1.436
```

Calculated values
D(E_F): 8.74 states/eV per cell
SG: C2/m
Calculated formation energy: -0.081 eV per atom
Energy: -41.0 eV/cell

=====

Record 5
Entry from Alexandria via LeMat-Bulk: a relaxed DyNpIn2O8 crystal (PBE).

The structure in extended XYZ format:
```
12
Lattice="5.038 -0.056 -0.003 -0.025 5.035 -0.006 0.004 0.007 6.788" Properties=species:S:1:pos:R:3 pbc="T T T"
Dy 0.002 0.004 3.394
O 0.908 4.103 5.277
O 1.553 1.543 3.391
Np 0.000 0.000 0.000
In 2.507 2.492 1.732
O 0.906 4.099 1.500
O 4.108 0.883 1.502
O 3.522 3.504 6.782
In 2.509 2.495 5.048
O 3.463 3.444 3.388
O 1.495 1.483 -0.003
O 4.111 0.888 5.279
```

Calculated values
D(E_F): 2.21 states/eV per cell
SG: Cmmm
Energy: -90.3 eV/cell
ΔE_f (raw): -2301.7 meV/atom

=====

Record 6
Entry from Alexandria via LeMat-Bulk: a relaxed Dy2NpIn3Se6 crystal (PBE).

The structure in extended XYZ format:
```
12
Lattice="7.222 0.000 0.000 -3.609 6.255 0.000 -1.204 -2.085 7.729" Properties=species:S:1:pos:R:3 pbc="T T T"
Se 2.432 0.000 1.616
Se 0.012 0.021 6.119
In -2.412 4.173 3.865
In 1.204 2.085 3.865
Dy -0.001 4.171 0.000
Dy 3.613 2.084 0.000
In 4.820 -0.004 3.865
Np 0.000 0.000 0.000
Se -1.215 2.106 1.616
Se -0.024 4.169 6.114
Se 3.623 2.063 6.114
Se 2.396 4.148 1.610
```

Calculated values
D(E_F): 5.67 states/eV per cell
SG: C2/m
Energy: -64.8 eV/cell
ΔE_f (raw): -1128.8 meV/atom